Record 1
{
  "formula": "Nb2MoRu2",
  "functional": "PBE-GGA",
  "state": "relaxed",
  "lattice": [[7.404, 0.000, 0.000], [0.000, 7.404, 0.000], [0.000, 0.000, 3.021]],
  "species": ["Ru", "Ru", "Ru", "Ru", "Mo", "Mo", "Nb", "Nb", "Nb", "Nb"],
  "fractional_positions": [[0.367, 0.867, 0.000], [0.867, 0.633, 0.000], [0.633, 0.133, 0.000], [0.133, 0.367, 0.000], [0.000, 0.000, 0.000], [0.500, 0.500, 0.000], [0.168, 0.668, 0.500], [0.668, 0.832, 0.500], [0.832, 0.332, 0.500], [0.332, 0.168, 0.500]],
  "spacegroup": "P4/mbm (127)",
  "volume_a3_per_atom": 16.56,
  "dft_energy_ev_per_atom": -9.82,
  "formation_enthalpy_0k_ev_per_atom": 0.0868
}

=====

Record 2
{
  "formula": "Nb6MoRu2",
  "functional": "PBE-GGA",
  "state": "relaxed",
  "lattice": [[4.399, 0.000, -0.174], [0.000, 6.201, 0.000], [-1.950, -3.101, 6.626]],
  "species": ["Nb", "Nb", "Nb", "Nb", "Nb", "Nb", "Mo", "Ru", "Ru"],
  "fractional_positions": [[0.167, 0.417, 0.334], [0.833, 0.083, 0.666], [0.833, 0.583, 0.666], [0.500, 0.252, 0.000], [0.167, 0.917, 0.334], [0.500, 0.748, 0.000], [0.000, 0.000, 0.000], [0.667, 0.668, 0.335], [0.333, 0.332, 0.665]],
  "spacegroup": "C2/m (12)",
  "volume_a3_per_atom": 19.85,
  "dft_energy_ev_per_atom": -9.61,
  "formation_enthalpy_0k_ev_per_atom": 0.3667
}

=====

Record 3
{
  "formula": "Nb12Mo6Ru",
  "functional": "PBE-GGA",
  "state": "relaxed",
  "lattice": [[-6.206, 3.597, 2.188], [-1.029, -2.263, -7.076], [0.745, -6.112, 4.282]],
  "species": ["Nb", "Nb", "Nb", "Nb", "Nb", "Nb", "Nb", "Nb", "Nb", "Nb", "Nb", "Nb", "Mo", "Mo", "Mo", "Mo", "Mo", "Mo", "Ru"],
  "fractional_positions": [[0.862, 0.651, 0.597], [0.597, 0.862, 0.651], [0.651, 0.597, 0.862], [0.138, 0.349, 0.403], [0.403, 0.138, 0.349], [0.349, 0.403, 0.138], [0.954, 0.890, 0.305], [0.110, 0.695, 0.046], [0.695, 0.046, 0.110], [0.046, 0.110, 0.695], [0.890, 0.305, 0.954], [0.305, 0.954, 0.890], [0.550, 0.795, 0.257], [0.743, 0.450, 0.205], [0.205, 0.743, 0.450], [0.450, 0.205, 0.743], [0.257, 0.550, 0.795], [0.795, 0.257, 0.550], [0.000, 0.000, 0.000]],
  "spacegroup": "R-3 (148)",
  "volume_a3_per_atom": 18.05,
  "dft_energy_ev_per_atom": -9.95,
  "formation_enthalpy_0k_ev_per_atom": 0.3211
}

=====

Record 4
{
  "formula": "Nb3Mo2Ru",
  "functional": "PBE-GGA",
  "state": "relaxed",
  "lattice": [[-3.374, -2.250, 2.049], [-4.441, -2.540, -5.066], [3.436, -5.420, -0.294]],
  "species": ["Nb", "Nb", "Nb", "Nb", "Nb", "Nb", "Mo", "Mo", "Mo", "Mo", "Ru", "Ru"],
  "fractional_positions": [[0.833, 0.333, 0.749], [0.500, 0.000, 0.250], [0.167, 0.667, 0.251], [0.833, 0.333, 0.251], [0.167, 0.667, 0.749], [0.500, 0.000, 0.750], [0.000, 0.000, 0.000], [0.000, 0.000, 0.500], [0.332, 0.335, 0.500], [0.668, 0.665, 0.500], [0.333, 0.335, 0.000], [0.667, 0.665, 0.000]],
  "spacegroup": "Cmmm (65)",
  "volume_a3_per_atom": 16.62,
  "dft_energy_ev_per_atom": -10.41,
  "formation_enthalpy_0k_ev_per_atom": -0.2146
}

=====

Record 5
{
  "formula": "Nb4MoRu",
  "functional": "PBE-GGA",
  "state": "relaxed",
  "lattice": [[4.566, 0.000, 0.000], [0.000, 5.294, 0.006], [0.000, 0.015, 5.293]],
  "species": ["Nb", "Nb", "Nb", "Nb", "Mo", "Ru"],
  "fractional_positions": [[0.500, 0.320, 0.680], [0.000, 0.827, 0.827], [0.000, 0.173, 0.173], [0.500, 0.680, 0.320], [0.000, 0.500, 0.500], [0.500, 0.000, 0.000]],
  "spacegroup": "Cmmm (65)",
  "volume_a3_per_atom": 21.32,
  "dft_energy_ev_per_atom": -9.05,
  "formation_enthalpy_0k_ev_per_atom": 1.0141
}

=====

Record 6
{
  "formula": "Nb5Mo2Ru",
  "functional": "PBE-GGA",
  "state": "relaxed",
  "lattice": [[-1.189, -1.827, -4.077], [-0.601, -4.908, 2.375], [-10.400, 2.252, 2.023]],
  "species": ["Nb", "Nb", "Nb", "Nb", "Nb", "Nb", "Nb", "Nb", "Nb", "Nb", "Mo", "Mo", "Mo", "Mo", "Ru", "Ru"],
  "fractional_positions": [[0.500, 0.336, 0.119], [0.500, 0.664, 0.881], [0.500, 0.836, 0.381], [0.500, 0.164, 0.619], [0.000, 0.852, 0.743], [0.000, 0.148, 0.257], [0.000, 0.352, 0.757], [0.000, 0.648, 0.243], [0.000, 0.500, 0.500], [0.000, 0.000, 0.000], [0.500, 0.335, 0.379], [0.500, 0.665, 0.621], [0.500, 0.165, 0.879], [0.500, 0.835, 0.121], [0.000, 0.000, 0.500], [0.000, 0.500, 0.000]],
  "spacegroup": "Pbam (55)",
  "volume_a3_per_atom": 17.17,
  "dft_energy_ev_per_atom": -10.22,
  "formation_enthalpy_0k_ev_per_atom": -0.0616
}